Record 1
Computed, not measured: crystalline KCd8In2 at its relaxed geometry at the PBE-GGA level of DFT.

Output
**Formation energy from the elements**: 0.022 eV per atom
**Size of the total moment**: 0.00 μB per formula unit

The structure in CIF format:
```
data_KCd8In2
_symmetry_space_group_name_H-M 'C m m m'
_symmetry_Int_Tables_number 65
_symmetry_space_group_name_Hall '-C 2 2'
_cell_length_a 5.838
_cell_length_b 9.621
_cell_length_c 11.287
_cell_angle_alpha 90.00
_cell_angle_beta 90.00
_cell_angle_gamma 90.00
loop_
_atom_site_label
_atom_site_type_symbol
_atom_site_fract_x
_atom_site_fract_y
_atom_site_fract_z
_atom_site_occupancy
K1 K 0.000 0.000 0.000 1
Cd1 Cd 0.000 0.500 0.351 1
Cd2 Cd 0.250 0.250 0.211 1
Cd3 Cd 0.250 0.250 0.500 1
In1 In 0.000 0.000 0.344 1
```

Record 2
Computed, not measured: crystalline MgAuN2F at its relaxed geometry at the PBE-GGA level of DFT.

Output
**Offset from the most stable computed form**: 0.000 eV/atom
**Size of the total moment**: 0.00 μB per formula unit
**Formation energy without anion corrections**: 720.3 meV/atom

The structure in CIF format:
```
data_MgAuN2F
_symmetry_space_group_name_H-M 'P 4/m m m'
_symmetry_Int_Tables_number 123
_symmetry_space_group_name_Hall '-P 4 2'
_cell_length_a 4.117
_cell_length_b 4.117
_cell_length_c 3.680
_cell_angle_alpha 90.00
_cell_angle_beta 90.00
_cell_angle_gamma 90.00
loop_
_atom_site_label
_atom_site_type_symbol
_atom_site_fract_x
_atom_site_fract_y
_atom_site_fract_z
_atom_site_occupancy
Mg1 Mg 0.000 0.000 0.000 1
Au1 Au 0.500 0.500 0.500 1
N1 N 0.000 0.500 0.000 1
F1 F 0.000 0.000 0.500 1
```

Record 3
Computed, not measured: crystalline CsRbPuBr4 at its relaxed geometry at the PBE-GGA level of DFT.

Output
**Size of the total moment**: 6.00 μB per formula unit
**Formation energy without anion corrections**: -1594.2 meV/atom

The structure in CIF format:
```
data_CsRbPuBr4
_symmetry_space_group_name_H-M 'I 4 m m'
_symmetry_Int_Tables_number 107
_symmetry_space_group_name_Hall 'I 4 -2'
_cell_length_a 5.843
_cell_length_b 5.843
_cell_length_c 17.954
_cell_angle_alpha 90.00
_cell_angle_beta 90.00
_cell_angle_gamma 90.00
loop_
_atom_site_label
_atom_site_type_symbol
_atom_site_fract_x
_atom_site_fract_y
_atom_site_fract_z
_atom_site_occupancy
Cs1 Cs 0.000 0.000 0.000 1
Rb1 Rb 0.000 0.000 0.720 1
Pu1 Pu 0.000 0.000 0.361 1
Br1 Br 0.000 0.000 0.196 1
Br2 Br 0.000 0.000 0.527 1
Br3 Br 0.000 0.500 0.357 1
```

Record 4
Computed, not measured: crystalline HoPaMo4 at its relaxed geometry at the PBE-GGA level of DFT.

Output
**Formation energy from the elements**: 0.095 eV per atom
**Size of the total moment**: 0.00 μB per formula unit

The structure in CIF format:
```
data_HoPaMo4
_symmetry_space_group_name_H-M 'F -4 3 m'
_symmetry_Int_Tables_number 216
_symmetry_space_group_name_Hall 'F -4 2 3'
_cell_length_a 7.785
_cell_length_b 7.785
_cell_length_c 7.785
_cell_angle_alpha 90.00
_cell_angle_beta 90.00
_cell_angle_gamma 90.00
loop_
_atom_site_label
_atom_site_type_symbol
_atom_site_fract_x
_atom_site_fract_y
_atom_site_fract_z
_atom_site_occupancy
Ho1 Ho 0.000 0.000 0.000 1
Pa1 Pa 0.250 0.250 0.750 1
Mo1 Mo 0.125 0.125 0.375 1
```

Record 5
Computed, not measured: crystalline LiZnCd4 at its relaxed geometry at the PBE-GGA level of DFT.

Output
**Formation energy from the elements**: 0.078 eV per atom
**Offset from the most stable computed form**: 0.118 eV/atom
**Size of the total moment**: 0.00 μB per formula unit

The structure in CIF format:
```
data_LiZnCd4
_symmetry_space_group_name_H-M 'F -4 3 m'
_symmetry_Int_Tables_number 216
_symmetry_space_group_name_Hall 'F -4 2 3'
_cell_length_a 8.141
_cell_length_b 8.141
_cell_length_c 8.141
_cell_angle_alpha 90.00
_cell_angle_beta 90.00
_cell_angle_gamma 90.00
loop_
_atom_site_label
_atom_site_type_symbol
_atom_site_fract_x
_atom_site_fract_y
_atom_site_fract_z
_atom_site_occupancy
Li1 Li 0.000 0.000 0.000 1
Zn1 Zn 0.250 0.250 0.750 1
Cd1 Cd 0.125 0.125 0.375 1
```

Record 6
Computed, not measured: crystalline Tl12HgSe5 at its relaxed geometry at the PBE-GGA level of DFT.

Output
**Size of the total moment**: 0.00 μB per formula unit
**Formation energy without anion corrections**: -261.7 meV/atom

The structure in CIF format:
```
data_Tl12HgSe5
_symmetry_space_group_name_H-M 'C 1 2/m 1'
_symmetry_Int_Tables_number 12
_cell_length_a 7.306
_cell_length_b 13.654
_cell_length_c 12.440
_cell_angle_alpha 90.00
_cell_angle_beta 99.75
_cell_angle_gamma 90.00
loop_
_symmetry_equiv_pos_as_xyz
'x,y,z'
'-x,-y,-z'
'-x,y,-z'
'x,-y,z'
'x+1/2,y+1/2,z'
'-x+1/2,-y+1/2,-z'
'-x+1/2,y+1/2,-z'
'x+1/2,-y+1/2,z'
loop_
_atom_site_label
_atom_site_type_symbol
_atom_site_fract_x
_atom_site_fract_y
_atom_site_fract_z
_atom_site_occupancy
Tl1 Tl 0.115 0.168 0.360 1
Tl2 Tl 0.122 0.500 0.360 1
Tl3 Tl 0.184 0.319 0.136 1
Tl4 Tl 0.202 0.000 0.155 1
Hg1 Hg 0.000 0.500 0.000 1
Se1 Se 0.000 0.000 0.500 1
Se2 Se 0.000 0.152 0.000 1
Se3 Se 0.000 0.333 0.500 1
```

> Which of these has the highest size of the total moment?

CsRbPuBr4

> size of the total moment of number 3 (CsRbPuBr4)?

6.00 μB per formula unit